DFT (PBE) results for a geometry-optimized Mn3V4Fe structure.

Lattice parameters (Å, degrees): 2.8778 4.0507 8.0938 90.00 90.00 90.00
With the nearest neighbours (Å) after each atom.
Atoms (fractional coordinates):
Mn  0.5000  0.0000  0.2476  8 V 2.47-2.50
Mn  0.5000  0.5000  0.5000  8 V 2.47-2.48
Mn  0.5000  0.0000  0.7524  8 V 2.47-2.50
Fe  0.5000  0.5000  0.0000  8 V 2.48-2.50
V  0.0000  0.0000  0.5000  8 Mn 2.48-2.50
V  0.0000  0.5000  0.7474  6 Mn 2.47-2.48, 2 Fe 2.50
V  0.0000  0.0000  0.0000  4 Mn 2.47, 4 Fe 2.48
V  0.0000  0.5000  0.2526  6 Mn 2.47-2.48, 2 Fe 2.50

Computed properties:
* mass density: 7.5 Mg/m³
* DFT formation energy: -0.240 eV per atom
* magnetic moment: 0.21 μB/f.u.
* E: -74.4 eV/cell